(1)
Density functional theory data (PBE) for a relaxed HgI2 crystal.

The space group is P4_2/nmc (No. 137, origin choice 2) and the conventional cell measures 9.113, 9.113 and 13.447 Å, with angles of 90.00, 90.00 and 90.00 degrees. The asymmetric unit holds Hg at (0.001, 0.750, 0.132), I at (0.011, 0.511, 0.750), I at (0.250, 0.250, 0.497) and I at (0.250, 0.750, 0.002).

Its magnetic moment is 0.0 μB per formula unit. The value obtained for the final energy is -1.428 eV per atom.

(2)
Density functional theory data (PBE) for a relaxed Pm4NdY2Sc crystal.

The space group is Pmmm (No. 47) and the conventional cell measures 5.072, 5.088 and 10.093 Å, with angles of 90.00, 90.00 and 90.00 degrees. The asymmetric unit holds Pm at (0.000, 0.000, 0.246), Pm at (0.500, 0.500, 0.246), Nd at (0.000, 0.500, 0.000), Y at (0.000, 0.500, 0.500), Y at (0.500, 0.000, 0.500) and Sc at (0.500, 0.000, 0.000).

Its density of states at the Fermi level is 11.47 states/eV/cell. The value obtained for the energy of formation from the pure elements is 0.03 eV per atom. Its magnetic moment is 0.0 μB per formula unit. The value obtained for the final energy is -5.351 eV per atom.

(3)
Density functional theory data (PBE) for a relaxed Mg2ZnRh crystal.

The space group is Cm (No. 8) and the conventional cell measures 6.688, 7.807 and 5.199 Å, with angles of 90.00, 94.95 and 90.00 degrees. The asymmetric unit holds Mg at (0.000, 0.183, 0.000), Mg at (0.332, 0.197, 0.445), Zn at (0.175, 0.500, 0.711), Zn at (0.329, 0.000, 0.904), Rh at (0.023, 0.000, 0.543) and Rh at (0.154, 0.500, 0.208).

Its density of states at the Fermi level is 6.23 states/eV/cell. The value obtained for the energy of formation from the pure elements is -0.37 eV per atom. Its magnetic moment is 0.0 μB per formula unit. The value obtained for the final energy is -3.325 eV per atom.

(4)
Density functional theory data (PBE) for a relaxed FeCu2Te crystal.

The space group is R-3m (No. 166, hexagonal axes) and the conventional cell measures 2.9844, 2.9844 and 26.0073 Å, with angles of 90.00, 90.00 and 120.00 degrees. The asymmetric unit holds Fe at (0.0000, 0.0000, 0.0000), Cu at (0.0000, 0.0000, 0.2610) and Te at (0.0000, 0.0000, 0.5000).

Its density of states at the Fermi level is 11.91 states/eV/cell. Its magnetic moment is 3.1 μB per formula unit. The value obtained for the final energy is -4.402 eV per atom.

(5)
Density functional theory data (PBE) for a relaxed K3PuSi2O8 crystal.

The space group is P-3m1 (No. 164) and the conventional cell measures 5.7038, 5.7038 and 8.1044 Å, with angles of 90.00, 90.00 and 120.00 degrees. The asymmetric unit holds K at (0.0000, 0.0000, 0.0000), K at (0.3333, 0.6667, 0.7615), Pu at (0.0000, 0.0000, 0.5000), Si at (0.3333, 0.6667, 0.2698), O at (0.1758, 0.3516, 0.3437) and O at (0.3333, 0.6667, 0.0735).

Its density of states at the Fermi level is 8.23 states/eV/cell. Its magnetic moment is 3.0 μB per formula unit. The value obtained for the final energy is -7.340 eV per atom.

(6)
Density functional theory data (PBE) for a relaxed Pu5TaN8 crystal.

The space group is I-4 (No. 82) and the conventional cell measures 7.081, 7.081 and 7.098 Å, with angles of 90.00, 90.00 and 90.00 degrees. The asymmetric unit holds Pu at (0.000, 0.000, 0.000), Pu at (0.135, 0.747, 0.376), Ta at (0.000, 0.500, 0.750), N at (0.058, 0.793, 0.691) and N at (0.064, 0.680, 0.052).

Its density of states at the Fermi level is 55.63 states/eV/cell. Its magnetic moment is 21.0 μB per formula unit. The value obtained for the final energy is -11.761 eV per atom.

(7)
Density functional theory data (PBE) for a relaxed NaAlTe2 crystal.

The space group is Cmcm (No. 63) and the conventional cell measures 4.018, 21.363 and 6.037 Å, with angles of 90.00, 90.00 and 90.00 degrees. The asymmetric unit holds Na at (0.000, 0.060, 0.250), Al at (0.000, 0.323, 0.250), Te at (0.000, 0.091, 0.750) and Te at (0.000, 0.204, 0.250).

Its density of states at the Fermi level is 1.89 states/eV/cell. Its magnetic moment is 0.0 μB per formula unit. The value obtained for the final energy is -3.104 eV per atom.

(8)
Density functional theory data (PBE) for a relaxed Sr2AgPd crystal.

The space group is R3m (No. 160, hexagonal axes) and the conventional cell measures 4.4271, 4.4271 and 23.1664 Å, with angles of 90.00, 90.00 and 120.00 degrees. The asymmetric unit holds Sr at (0.0000, 0.0000, 0.0000), Sr at (0.0000, 0.0000, 0.1862), Ag at (0.0000, 0.0000, 0.4292) and Pd at (0.0000, 0.0000, 0.5906).

Its density of states at the Fermi level is 6.12 states/eV/cell. The value obtained for the energy of formation from the pure elements is -0.33 eV per atom. Its magnetic moment is 0.0 μB per formula unit. The value obtained for the final energy is -3.185 eV per atom.

(9)
Density functional theory data (PBE) for a relaxed NaSn12Pd4 crystal.

The space group is Im-3 (No. 204) and the conventional cell measures 9.542, 9.542 and 9.542 Å, with angles of 90.00, 90.00 and 90.00 degrees. The asymmetric unit holds Na at (0.000, 0.000, 0.000), Sn at (0.000, 0.342, 0.158) and Pd at (0.250, 0.250, 0.250).

Its density of states at the Fermi level is 16.23 states/eV/cell. The value obtained for the energy of formation from the pure elements is -0.25 eV per atom. Its magnetic moment is 0.0 μB per formula unit. The value obtained for the final energy is -4.377 eV per atom.

(10)
Density functional theory data (PBE) for a relaxed TaTc3Ni crystal.

The space group is Pm-3m (No. 221) and the conventional cell measures 4.391, 4.391 and 4.391 Å, with angles of 90.00, 90.00 and 90.00 degrees. The asymmetric unit holds Ta at (0.000, 0.000, 0.000), Tc at (0.000, 0.500, 0.500) and Ni at (0.500, 0.500, 0.500).

Its density of states at the Fermi level is 8.57 states/eV/cell. The value obtained for the energy of formation from the pure elements is 1.23 eV per atom. The energy above the most stable polymorph in this dataset is 0.000 eV per atom. Its magnetic moment is 1.9 μB per formula unit. The value obtained for the final energy is -8.513 eV per atom.

(11)
Density functional theory data (PBE) for a relaxed RbCd4Hg2 crystal.

The space group is R-3m (No. 166, hexagonal axes) and the conventional cell measures 4.8312, 4.8312 and 31.2954 Å, with angles of 90.00, 90.00 and 120.00 degrees. The asymmetric unit holds Rb at (0.0000, 0.0000, 0.0000), Cd at (0.0000, 0.0000, 0.1486), Cd at (0.0000, 0.0000, 0.4459) and Hg at (0.0000, 0.0000, 0.2585).

Its density of states at the Fermi level is 7.62 states/eV/cell. The value obtained for the energy of formation from the pure elements is -0.07 eV per atom. The energy above the most stable polymorph in this dataset is 0.019 eV per atom. Its magnetic moment is 0.0 μB per formula unit. The value obtained for the final energy is -0.822 eV per atom.

(12)
Density functional theory data (PBE) for a relaxed TlSnI4 crystal.

The space group is P2_1/c (No. 14) and the conventional cell measures 9.851, 12.753 and 12.010 Å, with angles of 90.00, 123.09 and 90.00 degrees. The asymmetric unit holds Tl at (0.214, 0.112, 0.321), Sn at (0.324, 0.719, 0.208), I at (0.115, 0.592, 0.578), I at (0.187, 0.542, 0.254), I at (0.331, 0.213, 0.097) and I at (0.347, 0.631, 0.993).

The energy above the most stable polymorph in this dataset is 0.000 eV per atom. Its magnetic moment is 0.0 μB per formula unit. The value obtained for the final energy is -2.533 eV per atom.